Record 1
DFT (GGA-PBEsol) results for a relaxed Nb3ZnH crystal.

Unit cell a=4.1064 b=4.1064 c=4.1064 alpha=90.00 beta=90.00 gamma=90.00
Last column: nearest neighbours and their distance in Å.
Fractional positions:
Nb1 0.0000 0.5000 0.0000  2 H 2.05
Zn1 0.5000 0.5000 0.5000  12 Nb 2.90
Nb2 0.5000 0.0000 0.0000  2 H 2.05
H1 0.0000 0.0000 0.0000  6 Nb 2.05
Nb3 0.0000 0.0000 0.5000  2 H 2.05

Output
symmetry	Pm-3m (221)
calculated total energy	-37.766	eV per cell


Record 2
DFT (GGA-PBEsol) results for a relaxed BaHgCl crystal.

Unit cell a=5.3534 b=5.3534 c=5.3534 alpha=60.00 beta=60.00 gamma=60.00
Last column: nearest neighbours and their distance in Å.
Fractional positions:
Hg1 0.5000 0.5000 0.5000  4 Ba 3.28
Ba1 0.2500 0.2500 0.2500  4 Hg 3.28, 4 Cl 3.28
Cl1 0.0000 0.0000 0.0000  4 Ba 3.28

Output
symmetry	F-43m (216)
calculated total energy	-7.800	eV per cell
energy relative to the elements, uncorrected	-1.0254	eV per atom


Record 3
DFT (GGA-PBEsol) results for a relaxed CdFeAu2 crystal.

Unit cell a=4.2127 b=4.7386 c=4.2127 alpha=63.61 beta=90.00 gamma=116.39
Last column: nearest neighbours and their distance in Å.
Fractional positions:
Fe1 0.0000 0.0000 0.0000  8 Au 2.80, 4 Cd 2.98
Au1 0.2500 0.5000 0.2500  4 Cd 2.80, 4 Fe 2.80, 4 Au 2.98
Cd1 0.5000 0.0000 0.5000  8 Au 2.80, 4 Fe 2.98
Au2 0.7500 0.5000 0.7500  4 Cd 2.80, 4 Fe 2.80, 4 Au 2.98

Output
symmetry	I4/mmm (139)
calculated total energy	-17.575	eV per cell
energy relative to the elements	10.5	kJ/mol of atoms


Record 4
DFT (GGA-PBEsol) results for a relaxed GaSbTe2Os crystal.

Unit cell a=4.9616 b=5.3456 c=5.3456 alpha=90.00 beta=90.00 gamma=90.00
Last column: nearest neighbours and their distance in Å.
Fractional positions:
Te1 0.0000 0.0000 0.5000  2 Os 2.67
Os1 0.0000 0.0000 0.0000  2 Sb 2.48, 4 Te 2.67
Ga1 0.5000 0.5000 0.5000  8 Te 3.65, 4 Sb 3.78
Te2 0.0000 0.5000 0.0000  2 Os 2.67
Sb1 0.5000 0.0000 0.0000  2 Os 2.48

Output
symmetry	P4/mmm (123)
calculated total energy	-23.752	eV per cell
energy relative to the elements, uncorrected	0.6826	eV per atom